VASP calculation (PBE+U) on a relaxed structure of KNiOs2O8.

Lattice parameters (Å, degrees): 5.2236 5.2236 7.1777 106.57 106.57 73.78
Sites, in units of the cell vectors:
K (0.0000, 0.0000, 0.0000)
Ni (0.0000, 0.0000, 0.5000)
Os (0.4468, 0.4468, 0.7558)
Os (0.5532, 0.5532, 0.2442)
O (0.2186, 0.7132, 0.2854)
O (0.2451, 0.2451, 0.5439)
O (0.2868, 0.7814, 0.7146)
O (0.3480, 0.3480, 0.9467)
O (0.6520, 0.6520, 0.0533)
O (0.7132, 0.2186, 0.2854)
O (0.7549, 0.7549, 0.4561)
O (0.7814, 0.2868, 0.7146)

Calculated values
Total energy   -78.39 eV per formula unit
Space group   C2/m (12)